Entry 1:
First-principles (PBE-GGA) data for an optimized crystal structure of PuNb3, as listed in Alexandria via LeMat-Bulk.

a b c (Å): 5.579 5.579 5.579
angles (deg): 137.42 137.42 61.80
Element x y z (fractional)
Pu (0.000, 0.000, 0.000)
Nb (0.250, 0.750, 0.500)
Nb (0.500, 0.500, 0.000)
Nb (0.750, 0.250, 0.500)

Results
Raw total energy in eV/f.u.: -43.259
M_tot in μB/f.u.: 4.494
Space-group type: I4/mmm, No. 139
Energy relative to the lowest polymorph listed for this composition in meV per atom: 163

=====

Entry 2:
First-principles (PBE-GGA) data for an optimized crystal structure of NdSm4Y2, as listed in Alexandria via LeMat-Bulk.

a b c (Å): 12.041 12.041 12.041
angles (deg): 162.90 152.17 32.85
Element x y z (fractional)
Nd (0.000, 0.000, 0.000)
Sm (0.137, 0.637, 0.500)
Sm (0.412, 0.912, 0.500)
Sm (0.588, 0.088, 0.500)
Sm (0.863, 0.363, 0.500)
Y (0.275, 0.275, 0.000)
Y (0.725, 0.725, 0.000)

Results
Raw total energy in eV/f.u.: -35.985
M_tot in μB/f.u.: 0.000
Space-group type: Immm, No. 71
Energy relative to the lowest polymorph listed for this composition in meV per atom: 0

=====

Entry 3:
First-principles (PBE-GGA) data for an optimized crystal structure of Na3Pa2NbN6, as listed in Alexandria via LeMat-Bulk.

a b c (Å): 5.953 5.953 6.028
angles (deg): 99.31 99.31 120.06
Element x y z (fractional)
Na (0.000, 0.000, 0.000)
Na (0.343, 0.657, 0.000)
Na (0.657, 0.343, 0.000)
Pa (0.167, 0.833, 0.500)
Pa (0.833, 0.167, 0.500)
Nb (0.500, 0.500, 0.500)
N (0.120, 0.438, 0.312)
N (0.242, 0.242, 0.687)
N (0.438, 0.120, 0.312)
N (0.562, 0.880, 0.688)
N (0.758, 0.758, 0.313)
N (0.880, 0.562, 0.688)

Results
Raw total energy in eV/f.u.: -95.674
Formation energy (no corrections) in eV/atom: -1.06
M_tot in μB/f.u.: 0.000
Space-group type: C2/m, No. 12

=====

Entry 4:
First-principles (PBE-GGA) data for an optimized crystal structure of HfB2RhSe, as listed in Alexandria via LeMat-Bulk.

a b c (Å): 4.075 4.075 4.717
angles (deg): 90.00 90.00 90.00
Element x y z (fractional)
Hf (0.000, 0.000, 0.000)
B (0.000, 0.500, 0.500)
B (0.500, 0.000, 0.500)
Rh (0.500, 0.500, 0.000)
Se (0.500, 0.500, 0.500)

Results
Raw total energy in eV/f.u.: -27.891
Formation energy (no corrections) in eV/atom: 1.25
M_tot in μB/f.u.: 0.000
Space-group type: P4/mmm, No. 123

=====

Entry 5:
First-principles (PBE-GGA) data for an optimized crystal structure of Ac3Tb2Y8, as listed in Alexandria via LeMat-Bulk.

a b c (Å): 11.023 11.023 5.767
angles (deg): 90.09 90.09 43.08
Element x y z (fractional)
Ac (0.000, 0.000, 0.000)
Ac (0.290, 0.710, 0.500)
Ac (0.710, 0.290, 0.500)
Tb (0.239, 0.239, 0.998)
Tb (0.761, 0.761, 0.002)
Y (0.138, 0.138, 0.499)
Y (0.182, 0.588, 0.999)
Y (0.322, 0.322, 0.498)
Y (0.412, 0.818, 0.001)
Y (0.588, 0.182, 0.999)
Y (0.678, 0.678, 0.502)
Y (0.818, 0.412, 0.001)
Y (0.862, 0.862, 0.501)

Results
Raw total energy in eV/f.u.: -69.464
M_tot in μB/f.u.: 0.000
Space-group type: C2/m, No. 12

=====

Entry 6:
First-principles (PBE-GGA) data for an optimized crystal structure of NdRuO4F, as listed in Alexandria via LeMat-Bulk.

a b c (Å): 6.162 6.162 7.100
angles (deg): 102.74 102.74 74.67
Element x y z (fractional)
Nd (0.203, 0.203, 0.101)
Nd (0.797, 0.797, 0.899)
Ru (0.350, 0.350, 0.712)
Ru (0.650, 0.650, 0.288)
O (0.121, 0.475, 0.857)
O (0.253, 0.253, 0.465)
O (0.465, 0.465, 0.252)
O (0.475, 0.121, 0.857)
O (0.525, 0.879, 0.143)
O (0.535, 0.535, 0.748)
O (0.747, 0.747, 0.535)
O (0.879, 0.525, 0.143)
F (0.013, 0.013, 0.825)
F (0.987, 0.987, 0.175)

Results
Raw total energy in eV/f.u.: -49.803
Formation energy (no corrections) in eV/atom: -2.01
M_tot in μB/f.u.: 2.032
Space-group type: C2/m, No. 12

=====

Entry 7:
First-principles (PBE-GGA) data for an optimized crystal structure of OsSeN, as listed in Alexandria via LeMat-Bulk.

a b c (Å): 3.976 3.976 3.976
angles (deg): 102.80 102.80 123.85
Element x y z (fractional)
Os (0.000, 0.000, 0.000)
Se (0.750, 0.250, 0.500)
N (0.500, 0.500, 0.000)

Results
Raw total energy in eV/f.u.: -21.207
Formation energy (no corrections) in eV/atom: 0.61
M_tot in μB/f.u.: 0.000
Space-group type: I-4m2, No. 119
Energy relative to the lowest polymorph listed for this composition in meV per atom: 214